Entry 1:
# Tb3TePb

A relaxed Tb3TePb crystal (PBE-GGA, Alexandria via LeMat-Bulk).

Summary:
The total energy comes out at -0.35616 Ry/atom.

Unit cell a=8.625 b=4.344 c=8.795 alpha=90.00 beta=94.70 gamma=90.00
Space group P2_1/m (No. 11)
Unique sites:
Tb (0.113, 0.250, 0.368) [2 per cell]
Tb (0.156, 0.750, 0.010) [2 per cell]
Tb (0.386, 0.750, 0.658) [2 per cell]
Te (0.361, 0.750, 0.312) [2 per cell]
Pb (0.140, 0.250, 0.746) [2 per cell]

Entry 2:
# TbPrAlCd

A relaxed TbPrAlCd crystal (PBE-GGA, Alexandria via LeMat-Bulk).

Summary:
As for the offset from the most stable computed form: 0.0 meV/atom. The calculation puts the formation energy at -0.3517 eV per atom.

Unit cell a=3.612 b=3.612 c=8.079 alpha=90.00 beta=90.00 gamma=90.00
Space group P4mm (No. 99)
Unique sites:
Tb (0.000, 0.000, 0.000) [1 per cell]
Pr (0.000, 0.000, 0.527) [1 per cell]
Al (0.500, 0.500, 0.774) [1 per cell]
Cd (0.500, 0.500, 0.248) [1 per cell]

Entry 3:
# NaThNb2O8

A relaxed NaThNb2O8 crystal (PBE-GGA, Alexandria via LeMat-Bulk).

Summary:
The total energy comes out at -0.60413 Ry/atom.

Unit cell a=6.1581 b=6.1581 c=6.9029 alpha=90.00 beta=90.00 gamma=120.00
Space group P-3m1 (No. 164)
Unique sites:
Na (0.0000, 0.0000, 0.0000) [1 per cell]
Th (0.0000, 0.0000, 0.5000) [1 per cell]
Nb (0.3333, 0.6667, 0.1984) [2 per cell]
O (0.1646, 0.3292, 0.2831) [6 per cell]
O (0.3333, 0.6667, 0.9328) [2 per cell]

Entry 4:
# YNbIr2

A relaxed YNbIr2 crystal (PBE-GGA, Alexandria via LeMat-Bulk).

Summary:
The calculation puts the formation energy at -0.5466 eV per atom.

Unit cell a=3.108 b=3.108 c=7.587 alpha=90.00 beta=90.00 gamma=90.00
Space group P4/mmm (No. 123)
Unique sites:
Y (0.000, 0.000, 0.000) [1 per cell]
Nb (0.000, 0.000, 0.500) [1 per cell]
Ir (0.500, 0.500, 0.285) [2 per cell]

Entry 5:
# Y2ErTlO

A relaxed Y2ErTlO crystal (PBE-GGA, Alexandria via LeMat-Bulk).

Summary:
The total energy comes out at -0.46422 Ry/atom.

Unit cell a=4.816 b=4.816 c=4.712 alpha=90.00 beta=90.00 gamma=90.00
Space group P4/mmm (No. 123)
Unique sites:
Y (0.000, 0.500, 0.000) [2 per cell]
Er (0.000, 0.000, 0.500) [1 per cell]
Tl (0.500, 0.500, 0.500) [1 per cell]
O (0.000, 0.000, 0.000) [1 per cell]

Entry 6:
# Bi2IrOsPt

A relaxed Bi2IrOsPt crystal (PBE-GGA, Alexandria via LeMat-Bulk).

Summary:
The calculation puts the formation energy at 1.4182 eV per atom.

Unit cell a=5.268 b=5.268 c=4.714 alpha=90.00 beta=90.00 gamma=90.00
Space group P4/mmm (No. 123)
Unique sites:
Bi (0.000, 0.500, 0.000) [2 per cell]
Ir (0.000, 0.000, 0.000) [1 per cell]
Os (0.000, 0.000, 0.500) [1 per cell]
Pt (0.500, 0.500, 0.500) [1 per cell]

Entry 7:
# Ir2PbBrN

A relaxed Ir2PbBrN crystal (PBE-GGA, Alexandria via LeMat-Bulk).

Summary:
The total energy comes out at -0.23963 Ry/atom.

Unit cell a=5.141 b=5.141 c=5.671 alpha=90.00 beta=90.00 gamma=90.00
Space group P4/mmm (No. 123)
Unique sites:
Ir (0.000, 0.500, 0.000) [2 per cell]
Pb (0.000, 0.000, 0.000) [1 per cell]
Br (0.000, 0.000, 0.500) [1 per cell]
N (0.500, 0.500, 0.500) [1 per cell]

Entry 8:
# LiGaP2Pd

A relaxed LiGaP2Pd crystal (PBE-GGA, Alexandria via LeMat-Bulk).

Summary:
The calculation puts the formation energy at 0.3048 eV per atom.

Unit cell a=4.792 b=4.792 c=4.788 alpha=90.00 beta=90.00 gamma=90.00
Space group P4/mmm (No. 123)
Unique sites:
Li (0.000, 0.000, 0.000) [1 per cell]
Ga (0.500, 0.500, 0.000) [1 per cell]
P (0.000, 0.500, 0.500) [2 per cell]
Pd (0.500, 0.500, 0.500) [1 per cell]